# Rb2NaSb3Pb4 | Alexandria via LeMat-Bulk | PBE | optimized geometry
# raw formation energy = -0.18 eV per atom
data_Rb2NaSb3Pb4
_cell_length_a 5.237
_cell_length_b 5.237
_cell_length_c 13.750
_cell_angle_alpha 90.00
_cell_angle_beta 90.00
_cell_angle_gamma 90.00
_space_group_name_H-M_alt 'P 1'
_space_group_IT_number 1
loop_
_space_group_symop_operation_xyz
'x,y,z'
loop_
_atom_site_label
_atom_site_type_symbol
_atom_site_fract_x
_atom_site_fract_y
_atom_site_fract_z
_atom_site_occupancy
Rb1 Rb 0.500 0.000 0.253 1
Rb2 Rb 0.000 0.500 0.747 1
Na1 Na 0.500 0.500 0.500 1
Sb1 Sb 0.000 0.000 0.500 1
Sb2 Sb 0.500 0.000 0.859 1
Sb3 Sb 0.000 0.500 0.141 1
Pb1 Pb 0.500 0.500 0.000 1
Pb2 Pb 0.000 0.000 0.000 1
Pb3 Pb 0.500 0.000 0.633 1
Pb4 Pb 0.000 0.500 0.367 1

# Tm5U3N8 | Alexandria via LeMat-Bulk | PBE | optimized geometry
# raw formation energy = -1.61 eV per atom
data_Tm5U3N8
_cell_length_a 6.808
_cell_length_b 6.808
_cell_length_c 6.846
_cell_angle_alpha 60.18
_cell_angle_beta 60.18
_cell_angle_gamma 60.00
_space_group_name_H-M_alt 'P 1'
_space_group_IT_number 1
loop_
_space_group_symop_operation_xyz
'x,y,z'
loop_
_atom_site_label
_atom_site_type_symbol
_atom_site_fract_x
_atom_site_fract_y
_atom_site_fract_z
_atom_site_occupancy
Tm1 Tm 0.500 0.000 0.000 1
Tm2 Tm 0.500 0.500 0.000 1
Tm3 Tm 0.000 0.000 0.000 1
Tm4 Tm 0.000 0.500 0.000 1
Tm5 Tm 0.500 0.500 0.500 1
U1 U 0.500 0.000 0.500 1
U2 U 0.000 0.000 0.500 1
U3 U 0.000 0.500 0.500 1
N1 N 0.250 0.250 0.743 1
N2 N 0.250 0.757 0.743 1
N3 N 0.757 0.250 0.743 1
N4 N 0.750 0.750 0.750 1
N5 N 0.750 0.750 0.257 1
N6 N 0.750 0.243 0.257 1
N7 N 0.243 0.750 0.257 1
N8 N 0.250 0.250 0.250 1

# GaFeHgN2 | Alexandria via LeMat-Bulk | PBE | optimized geometry
# raw formation energy = 2.27 eV per atom
data_GaFeHgN2
_cell_length_a 4.121
_cell_length_b 5.359
_cell_length_c 4.121
_cell_angle_alpha 90.00
_cell_angle_beta 90.00
_cell_angle_gamma 90.00
_space_group_name_H-M_alt 'P 1'
_space_group_IT_number 1
loop_
_space_group_symop_operation_xyz
'x,y,z'
loop_
_atom_site_label
_atom_site_type_symbol
_atom_site_fract_x
_atom_site_fract_y
_atom_site_fract_z
_atom_site_occupancy
N1 N 0.000 0.000 0.500 1
N2 N 0.500 0.000 0.000 1
Hg1 Hg 0.000 0.000 0.000 1
Ga1 Ga 0.000 0.500 0.000 1
Fe1 Fe 0.500 0.500 0.500 1

# Pm3AgCCl | Alexandria via LeMat-Bulk | PBE | optimized geometry
# raw formation energy = -0.53 eV per atom
data_Pm3AgCCl
_cell_length_a 3.770
_cell_length_b 9.127
_cell_length_c 8.990
_cell_angle_alpha 94.93
_cell_angle_beta 90.00
_cell_angle_gamma 90.00
_space_group_name_H-M_alt 'P 1'
_space_group_IT_number 1
loop_
_space_group_symop_operation_xyz
'x,y,z'
loop_
_atom_site_label
_atom_site_type_symbol
_atom_site_fract_x
_atom_site_fract_y
_atom_site_fract_z
_atom_site_occupancy
Pm1 Pm 0.250 0.661 0.421 1
Pm2 Pm 0.750 0.822 0.111 1
Pm3 Pm 0.750 0.438 0.148 1
Pm4 Pm 0.750 0.339 0.579 1
Pm5 Pm 0.250 0.562 0.852 1
Pm6 Pm 0.250 0.178 0.889 1
Ag1 Ag 0.750 0.823 0.756 1
Ag2 Ag 0.250 0.177 0.244 1
C1 C 0.250 0.642 0.139 1
C2 C 0.750 0.358 0.861 1
Cl1 Cl 0.250 0.115 0.587 1
Cl2 Cl 0.750 0.885 0.413 1

# LiPrDy | Alexandria via LeMat-Bulk | PBE | optimized geometry
# relative energy among the computed polymorphs = 0.025 eV per atom
# ΔE_f = 81 meV per atom
data_LiPrDy
_cell_length_a 3.749
_cell_length_b 3.749
_cell_length_c 6.757
_cell_angle_alpha 106.10
_cell_angle_beta 106.10
_cell_angle_gamma 90.00
_space_group_name_H-M_alt 'P 1'
_space_group_IT_number 1
loop_
_space_group_symop_operation_xyz
'x,y,z'
loop_
_atom_site_label
_atom_site_type_symbol
_atom_site_fract_x
_atom_site_fract_y
_atom_site_fract_z
_atom_site_occupancy
Pr1 Pr 0.321 0.321 0.642 1
Dy1 Dy 0.017 0.017 0.033 1
Li1 Li 0.662 0.662 0.324 1

# K3Tl4Ga | Alexandria via LeMat-Bulk | PBE | optimized geometry
# ΔE_f = -52 meV per atom
data_K3Tl4Ga
_cell_length_a 7.637
_cell_length_b 7.637
_cell_length_c 7.637
_cell_angle_alpha 112.34
_cell_angle_beta 90.05
_cell_angle_gamma 128.24
_space_group_name_H-M_alt 'P 1'
_space_group_IT_number 1
loop_
_space_group_symop_operation_xyz
'x,y,z'
loop_
_atom_site_label
_atom_site_type_symbol
_atom_site_fract_x
_atom_site_fract_y
_atom_site_fract_z
_atom_site_occupancy
K1 K 0.567 0.226 0.792 1
K2 K 0.944 0.000 0.944 1
K3 K 0.567 0.774 0.341 1
Tl1 Tl 0.240 0.684 0.924 1
Tl2 Tl 0.240 0.316 0.556 1
Tl3 Tl 0.544 0.254 0.290 1
Tl4 Tl 0.036 0.746 0.290 1
Ga1 Ga 0.013 0.500 0.513 1

# ZnSe3 | Alexandria via LeMat-Bulk | PBE | optimized geometry
# raw formation energy = -0.06 eV per atom
data_ZnSe3
_cell_length_a 6.114
_cell_length_b 6.114
_cell_length_c 3.925
_cell_angle_alpha 108.72
_cell_angle_beta 108.72
_cell_angle_gamma 37.45
_space_group_name_H-M_alt 'P 1'
_space_group_IT_number 1
loop_
_space_group_symop_operation_xyz
'x,y,z'
loop_
_atom_site_label
_atom_site_type_symbol
_atom_site_fract_x
_atom_site_fract_y
_atom_site_fract_z
_atom_site_occupancy
Se1 Se 0.500 0.500 0.500 1
Se2 Se 0.756 0.756 0.756 1
Se3 Se 0.244 0.244 0.244 1
Zn1 Zn 0.000 0.000 0.000 1

# HoScTlPt | Alexandria via LeMat-Bulk | PBE | optimized geometry
# ΔE_f = -672 meV per atom
data_HoScTlPt
_cell_length_a 5.006
_cell_length_b 5.006
_cell_length_c 5.006
_cell_angle_alpha 60.00
_cell_angle_beta 60.00
_cell_angle_gamma 60.00
_space_group_name_H-M_alt 'P 1'
_space_group_IT_number 1
loop_
_space_group_symop_operation_xyz
'x,y,z'
loop_
_atom_site_label
_atom_site_type_symbol
_atom_site_fract_x
_atom_site_fract_y
_atom_site_fract_z
_atom_site_occupancy
Sc1 Sc 0.500 0.500 0.500 1
Tl1 Tl 0.250 0.250 0.250 1
Ho1 Ho 0.000 0.000 0.000 1
Pt1 Pt 0.750 0.750 0.750 1

Please write out number 7 again, unchanged.
# ZnSe3 | Alexandria via LeMat-Bulk | PBE | optimized geometry
# raw formation energy = -0.06 eV per atom
data_ZnSe3
_cell_length_a 6.114
_cell_length_b 6.114
_cell_length_c 3.925
_cell_angle_alpha 108.72
_cell_angle_beta 108.72
_cell_angle_gamma 37.45
_space_group_name_H-M_alt 'P 1'
_space_group_IT_number 1
loop_
_space_group_symop_operation_xyz
'x,y,z'
loop_
_atom_site_label
_atom_site_type_symbol
_atom_site_fract_x
_atom_site_fract_y
_atom_site_fract_z
_atom_site_occupancy
Se1 Se 0.500 0.500 0.500 1
Se2 Se 0.756 0.756 0.756 1
Se3 Se 0.244 0.244 0.244 1
Zn1 Zn 0.000 0.000 0.000 1

What did the fifth record say?
# LiPrDy | Alexandria via LeMat-Bulk | PBE | optimized geometry
# relative energy among the computed polymorphs = 0.025 eV per atom
# ΔE_f = 81 meV per atom
data_LiPrDy
_cell_length_a 3.749
_cell_length_b 3.749
_cell_length_c 6.757
_cell_angle_alpha 106.10
_cell_angle_beta 106.10
_cell_angle_gamma 90.00
_space_group_name_H-M_alt 'P 1'
_space_group_IT_number 1
loop_
_space_group_symop_operation_xyz
'x,y,z'
loop_
_atom_site_label
_atom_site_type_symbol
_atom_site_fract_x
_atom_site_fract_y
_atom_site_fract_z
_atom_site_occupancy
Pr1 Pr 0.321 0.321 0.642 1
Dy1 Dy 0.017 0.017 0.033 1
Li1 Li 0.662 0.662 0.324 1